# YCoBr2

Crystalline YCoBr2 at its relaxed geometry (PBE-GGA, the Alexandria database).

The uncorrected formation energy comes out at -0.60 eV per atom. Its space group is No. 71. The distance to the lowest polymorph of the same formula is 145 meV/atom. Its total energy is -19.32 eV for the cell shown.

POSCAR file:
```
YCoBr2
1.0
7.666 0.185 -0.002
5.322 5.520 0.002
-6.264 -3.377 2.857
Br Co Y
2 1 1
Direct
0.878 0.878 0.000
0.622 0.622 0.000
0.750 0.250 0.500
0.250 0.750 0.500
```